Below is CaZrV2Au after structural relaxation, with properties calculated at the PBE-GGA level.

## Properties
For the formation energy, the calculation gives 0.881 eV per atom. For the density, the calculation gives 5.3 g cm⁻³.

Unit cell a=5.092 b=5.092 c=5.194 alpha=90.00 beta=90.00 gamma=90.00
Positions (direct):
Ca 0.000 0.000 0.000
Zr 0.500 0.500 0.000
V 0.000 0.500 0.500
V 0.500 0.000 0.500
Au 0.500 0.500 0.500

---

Below is Sn2Hg4P after structural relaxation, with properties calculated at the PBE-GGA level.

## Properties
For the formation energy, the calculation gives 0.289 eV per atom. For the density, the calculation gives 8.8 g cm⁻³.

Unit cell a=5.312 b=5.312 c=14.389 alpha=90.00 beta=90.00 gamma=90.00
Positions (direct):
Sn 0.000 0.000 0.116
Sn 0.000 0.000 0.884
Sn 0.500 0.500 0.384
Sn 0.500 0.500 0.616
Hg 0.000 0.000 0.314
Hg 0.000 0.000 0.686
Hg 0.000 0.500 0.000
Hg 0.000 0.500 0.500
Hg 0.500 0.000 0.000
Hg 0.500 0.000 0.500
Hg 0.500 0.500 0.186
Hg 0.500 0.500 0.814
P 0.000 0.000 0.500
P 0.500 0.500 0.000

---

Below is LiInGaAg after structural relaxation, with properties calculated at the PBE-GGA level.

## Properties
For the formation energy, the calculation gives -0.046 eV per atom. For the density, the calculation gives 5.6 g cm⁻³.

Unit cell a=7.780 b=4.503 c=5.086 alpha=90.00 beta=90.00 gamma=90.00
Positions (direct):
Li 0.000 0.000 0.000
Li 0.500 0.500 0.000
In 0.168 0.500 0.475
In 0.668 0.000 0.475
Ga 0.334 0.000 0.256
Ga 0.834 0.500 0.256
Ag 0.334 0.000 0.762
Ag 0.834 0.500 0.762

---

Below is LaScTl2V after structural relaxation, with properties calculated at the PBE-GGA level.

## Properties
For the formation energy, the calculation gives 0.171 eV per atom. For the density, the calculation gives 8.0 g cm⁻³.

Unit cell a=5.344 b=5.344 c=4.687 alpha=90.00 beta=90.00 gamma=90.00
Positions (direct):
La 0.000 0.000 0.000
Sc 0.500 0.500 0.000
Tl 0.000 0.500 0.500
Tl 0.500 0.000 0.500
V 0.500 0.500 0.500

---

Below is Rb2Si2NiS6 after structural relaxation, with properties calculated at the PBE-GGA level.

## Properties
For the density, the calculation gives 2.8 g cm⁻³. The raw formation energy is -0.571 eV/atom.

Unit cell a=8.172 b=8.172 c=8.172 alpha=49.04 beta=49.04 gamma=49.04
Positions (direct):
Rb 0.218 0.218 0.218
Rb 0.782 0.782 0.782
Si 0.399 0.399 0.399
Si 0.601 0.601 0.601
Ni 0.000 0.000 0.000
S 0.231 0.231 0.756
S 0.231 0.756 0.231
S 0.244 0.769 0.769
S 0.756 0.231 0.231
S 0.769 0.244 0.769
S 0.769 0.769 0.244

---

Below is La5YHo2Er after structural relaxation, with properties calculated at the PBE-GGA level.

## Properties
For the formation energy, the calculation gives 0.134 eV per atom. For the density, the calculation gives 6.7 g cm⁻³.

Unit cell a=10.782 b=10.782 c=10.794 alpha=90.00 beta=90.00 gamma=149.50
Positions (direct):
La 0.011 0.989 0.500
La 0.120 0.880 0.770
La 0.205 0.795 0.462
La 0.223 0.777 0.072
La 0.486 0.514 0.762
La 0.514 0.486 0.262
La 0.777 0.223 0.572
La 0.795 0.205 0.962
La 0.880 0.120 0.270
La 0.989 0.011 0.000
Y 0.303 0.697 0.767
Y 0.697 0.303 0.267
Ho 0.385 0.615 0.494
Ho 0.388 0.612 0.049
Ho 0.612 0.388 0.549
Ho 0.615 0.385 0.994
Er 0.096 0.904 0.227
Er 0.904 0.096 0.727

---

Below is V2GePd8 after structural relaxation, with properties calculated at the PBE-GGA level.

## Properties
For the formation energy, the calculation gives -0.259 eV per atom. For the density, the calculation gives 10.1 g cm⁻³.

Unit cell a=7.601 b=7.601 c=7.601 alpha=145.98 beta=136.28 gamma=56.53
Positions (direct):
V 0.191 0.191 0.000
V 0.809 0.809 0.000
Ge 0.500 0.500 0.000
Pd 0.095 0.360 0.735
Pd 0.241 0.000 0.241
Pd 0.315 0.815 0.500
Pd 0.375 0.640 0.735
Pd 0.625 0.360 0.265
Pd 0.685 0.185 0.500
Pd 0.759 0.000 0.759
Pd 0.905 0.640 0.265

---

Below is Hf12FeBi6 after structural relaxation, with properties calculated at the PBE-GGA level.

## Properties
For the formation energy, the calculation gives 0.114 eV per atom. For the density, the calculation gives 11.9 g cm⁻³.

Unit cell a=8.032 b=8.032 c=8.032 alpha=101.32 beta=101.32 gamma=101.32
Positions (direct):
Hf 0.020 0.308 0.056
Hf 0.056 0.020 0.308
Hf 0.223 0.405 0.507
Hf 0.308 0.056 0.020
Hf 0.405 0.507 0.223
Hf 0.493 0.777 0.595
Hf 0.507 0.223 0.405
Hf 0.595 0.493 0.777
Hf 0.692 0.944 0.980
Hf 0.777 0.595 0.493
Hf 0.944 0.980 0.692
Hf 0.980 0.692 0.944
Fe 0.000 0.000 0.000
Bi 0.101 0.667 0.337
Bi 0.333 0.663 0.899
Bi 0.337 0.101 0.667
Bi 0.663 0.899 0.333
Bi 0.667 0.337 0.101
Bi 0.899 0.333 0.663

---

Below is PuHfBi2 after structural relaxation, with properties calculated at the PBE-GGA level.

## Properties
As for the relative energy among the computed polymorphs: 0.042 eV per atom. For the formation energy, the calculation gives -0.112 eV per atom. For the density, the calculation gives 13.1 g cm⁻³.

Unit cell a=7.522 b=7.522 c=7.522 alpha=90.00 beta=90.00 gamma=90.00
Positions (direct):
Pu 0.000 0.000 0.000
Pu 0.000 0.500 0.500
Pu 0.500 0.000 0.500
Pu 0.500 0.500 0.000
Hf 0.000 0.000 0.500
Hf 0.000 0.500 0.000
Hf 0.500 0.000 0.000
Hf 0.500 0.500 0.500
Bi 0.250 0.250 0.250
Bi 0.250 0.250 0.750
Bi 0.250 0.750 0.250
Bi 0.250 0.750 0.750
Bi 0.750 0.250 0.250
Bi 0.750 0.250 0.750
Bi 0.750 0.750 0.250
Bi 0.750 0.750 0.750

---

Below is Rb2BaAg2 after structural relaxation, with properties calculated at the PBE-GGA level.

## Properties
As for the relative energy among the computed polymorphs: 0.123 eV per atom. For the formation energy, the calculation gives 0.152 eV per atom. For the density, the calculation gives 4.2 g cm⁻³.

Unit cell a=10.116 b=10.116 c=4.042 alpha=90.00 beta=90.00 gamma=90.00
Positions (direct):
Rb 0.124 0.376 0.000
Rb 0.376 0.876 0.000
Rb 0.624 0.124 0.000
Rb 0.876 0.624 0.000
Ba 0.000 0.000 0.000
Ba 0.500 0.500 0.000
Ag 0.181 0.681 0.500
Ag 0.319 0.181 0.500
Ag 0.681 0.819 0.500
Ag 0.819 0.319 0.500

---

Below is MnTl2Zn after structural relaxation, with properties calculated at the PBE-GGA level.

## Properties
As for the relative energy among the computed polymorphs: 0.160 eV per atom. For the formation energy, the calculation gives 0.422 eV per atom. For the density, the calculation gives 9.8 g cm⁻³.

Unit cell a=7.093 b=7.093 c=7.093 alpha=90.00 beta=90.00 gamma=90.00
Positions (direct):
Mn 0.000 0.000 0.000
Mn 0.000 0.500 0.500
Mn 0.500 0.000 0.500
Mn 0.500 0.500 0.000
Tl 0.250 0.250 0.250
Tl 0.250 0.250 0.750
Tl 0.250 0.750 0.250
Tl 0.250 0.750 0.750
Tl 0.750 0.250 0.250
Tl 0.750 0.250 0.750
Tl 0.750 0.750 0.250
Tl 0.750 0.750 0.750
Zn 0.000 0.000 0.500
Zn 0.000 0.500 0.000
Zn 0.500 0.000 0.000
Zn 0.500 0.500 0.500

---

Below is Li2LaMg2In2 after structural relaxation, with properties calculated at the PBE-GGA level.

## Properties
For the formation energy, the calculation gives -0.282 eV per atom. For the density, the calculation gives 4.2 g cm⁻³.

Unit cell a=8.343 b=4.803 c=8.939 alpha=90.00 beta=107.97 gamma=90.00
Positions (direct):
Li 0.068 0.000 0.205
Li 0.432 0.500 0.795
Li 0.568 0.500 0.205
Li 0.932 0.000 0.795
La 0.000 0.500 0.500
La 0.500 0.000 0.500
Mg 0.137 0.500 0.910
Mg 0.363 0.000 0.090
Mg 0.637 0.000 0.910
Mg 0.863 0.500 0.090
In 0.244 0.000 0.731
In 0.256 0.500 0.269
In 0.744 0.500 0.731
In 0.756 0.000 0.269

---

Among the records above, which one has the lowest density? Rb2Si2NiS6